(1)
The following is a PBE calculation of a geometry-optimized DyZrAg2 structure, from the Alexandria database.

Geometry as CIF:
```
data_DyZrAg2
_space_group_name_H-M_alt 'P 4/m m m'
_space_group_IT_number 123
_space_group_name_Hall '-P 4 2'
_cell_length_a 3.550
_cell_length_b 3.550
_cell_length_c 7.049
_cell_angle_alpha 90.00
_cell_angle_beta 90.00
_cell_angle_gamma 90.00
loop_
_atom_site_label
_atom_site_fract_x
_atom_site_fract_y
_atom_site_fract_z
Dy1 0.000 0.000 0.000
Zr1 0.000 0.000 0.500
Ag1 0.500 0.500 0.265
```

theoretical density	8.8	g/cm3
ΔH_f (0 K)	-0.1142	eV per atom
E	-4.827	eV/atom
relative energy among the computed polymorphs	0.0	meV/atom

***

(2)
The following is a PBE calculation of a geometry-optimized Er3Ag structure, from the Alexandria database.

Geometry as CIF:
```
data_Er3Ag
_space_group_name_H-M_alt 'I -4'
_space_group_IT_number 82
_cell_length_a 12.078
_cell_length_b 12.078
_cell_length_c 6.098
_cell_angle_alpha 90.00
_cell_angle_beta 90.00
_cell_angle_gamma 90.00
loop_
_space_group_symop_operation_xyz
'x,y,z'
'y,-x,-z'
'-x,-y,z'
'-y,x,-z'
'x+1/2,y+1/2,z+1/2'
'y+1/2,-x+1/2,-z+1/2'
'-x+1/2,-y+1/2,z+1/2'
'-y+1/2,x+1/2,-z+1/2'
loop_
_atom_site_label
_atom_site_fract_x
_atom_site_fract_y
_atom_site_fract_z
Er1 0.005 0.144 0.254
Er2 0.092 0.599 0.483
Er3 0.199 0.708 0.984
Ag1 0.007 0.208 0.754
```

theoretical density	9.1	g/cm3
ΔH_f (0 K)	-0.0650	eV per atom
E	-4.200	eV/atom
relative energy among the computed polymorphs	69.6	meV/atom

***

(3)
The following is a PBE calculation of a geometry-optimized Er3Ag structure, from the Alexandria database.

Geometry as CIF:
```
data_Er3Ag
_space_group_name_H-M_alt 'I m m 2'
_space_group_IT_number 44
_cell_length_a 3.689
_cell_length_b 11.116
_cell_length_c 5.304
_cell_angle_alpha 90.00
_cell_angle_beta 90.00
_cell_angle_gamma 90.00
loop_
_space_group_symop_operation_xyz
'x,y,z'
'-x,-y,z'
'-x,y,z'
'x,-y,z'
'x+1/2,y+1/2,z+1/2'
'-x+1/2,-y+1/2,z+1/2'
'-x+1/2,y+1/2,z+1/2'
'x+1/2,-y+1/2,z+1/2'
loop_
_atom_site_label
_atom_site_fract_x
_atom_site_fract_y
_atom_site_fract_z
Er1 0.000 0.000 0.000
Er2 0.000 0.217 0.500
Ag1 0.000 0.500 0.001
```

theoretical density	9.3	g/cm3
ΔH_f (0 K)	-0.1191	eV per atom
E	-4.254	eV/atom
relative energy among the computed polymorphs	15.5	meV/atom